Compound: Ca4H6N
Source: Alexandria
Functional: PBE
Structure: relaxed

## Properties
The value obtained for the magnetization is 0.091 μB/atom. The space-group type is No. 137. As for the raw total energy: -3.780 eV per atom.

CIF file:
```
data_Ca4H6N
_chemical_formula_sum 'Ca8 H12 N2'
_space_group_name_H-M_alt 'P 1'
_space_group_IT_number 1
_cell_length_a 5.544
_cell_length_b 7.672
_cell_length_c 7.672
_cell_angle_alpha 90.00
_cell_angle_beta 90.00
_cell_angle_gamma 90.00
loop_
_space_group_symop_operation_xyz
'x,y,z'
loop_
_atom_site_label
_atom_site_fract_x
_atom_site_fract_y
_atom_site_fract_z
Ca1 0.214 0.500 0.241
Ca2 0.214 0.500 0.759
H1 0.500 0.277 0.723
Ca3 0.286 0.000 0.741
Ca4 0.286 0.000 0.259
H2 0.000 0.777 0.777
H3 0.500 0.723 0.277
H4 0.500 0.277 0.277
Ca5 0.786 0.759 0.500
H5 0.000 0.223 0.223
H6 0.462 0.500 0.000
Ca6 0.714 0.259 0.000
Ca7 0.714 0.741 0.000
N1 0.500 0.000 0.000
N2 0.000 0.500 0.500
H7 0.538 0.000 0.500
H8 0.000 0.777 0.223
H9 0.038 0.000 0.500
Ca8 0.786 0.241 0.500
H10 0.500 0.723 0.723
H11 0.962 0.500 0.000
H12 0.000 0.223 0.777
```

Compound: Na2Ca6HN
Source: Alexandria
Functional: PBE
Structure: relaxed

## Properties
The value obtained for the magnetization is 0.000 μB/atom. The space-group type is No. 42. As for the raw total energy: -2.876 eV per atom.

CIF file:
```
data_Na2Ca6HN
_chemical_formula_sum 'Na2 Ca6 H1 N1'
_space_group_name_H-M_alt 'P 1'
_space_group_IT_number 1
_cell_length_a 7.374
_cell_length_b 7.374
_cell_length_c 7.388
_cell_angle_alpha 119.88
_cell_angle_beta 119.88
_cell_angle_gamma 90.06
loop_
_space_group_symop_operation_xyz
'x,y,z'
loop_
_atom_site_label
_atom_site_fract_x
_atom_site_fract_y
_atom_site_fract_z
Ca1 0.237 0.238 0.475
Na1 0.750 0.250 0.500
Ca2 0.238 0.239 0.999
Ca3 0.762 0.762 0.000
H1 0.501 0.501 0.001
N1 0.000 0.000 0.000
Ca4 0.238 0.762 0.000
Ca5 0.762 0.763 0.525
Ca6 0.762 0.239 0.000
Na2 0.250 0.750 0.500
```

Compound: Ca2NiHN
Source: Alexandria
Functional: PBE
Structure: relaxed

## Properties
The value obtained for the magnetization is 0.000 μB/atom. The space-group type is No. 123. As for the raw total energy: -4.271 eV per atom.

CIF file:
```
data_Ca2NiHN
_chemical_formula_sum 'Ca2 Ni1 H1 N1'
_space_group_name_H-M_alt 'P 1'
_space_group_IT_number 1
_cell_length_a 4.857
_cell_length_b 2.860
_cell_length_c 4.857
_cell_angle_alpha 90.00
_cell_angle_beta 90.00
_cell_angle_gamma 90.00
loop_
_space_group_symop_operation_xyz
'x,y,z'
loop_
_atom_site_label
_atom_site_fract_x
_atom_site_fract_y
_atom_site_fract_z
H1 0.000 0.000 0.000
Ca1 0.000 0.000 0.500
N1 0.000 0.500 0.000
Ni1 0.500 0.500 0.500
Ca2 0.500 0.000 0.000
```

Compound: CaHNO2
Source: Alexandria
Functional: PBE
Structure: relaxed

## Properties
The value obtained for the magnetization is 0.000 μB/atom. The space-group type is No. 123. As for the raw total energy: -4.683 eV per atom.

CIF file:
```
data_CaHNO2
_chemical_formula_sum 'Ca1 H1 N1 O2'
_space_group_name_H-M_alt 'P 1'
_space_group_IT_number 1
_cell_length_a 3.960
_cell_length_b 3.960
_cell_length_c 2.808
_cell_angle_alpha 90.00
_cell_angle_beta 90.00
_cell_angle_gamma 90.00
loop_
_space_group_symop_operation_xyz
'x,y,z'
loop_
_atom_site_label
_atom_site_fract_x
_atom_site_fract_y
_atom_site_fract_z
Ca1 0.500 0.500 0.500
O1 0.500 0.000 0.000
N1 0.000 0.000 0.500
O2 0.000 0.500 0.000
H1 0.000 0.000 0.000
```

Compound: CaHNO2
Source: Alexandria
Functional: PBE
Structure: relaxed

## Properties
The value obtained for the magnetization is 0.800 μB/atom. The space-group type is No. 123. As for the raw total energy: -3.795 eV per atom.

CIF file:
```
data_CaHNO2
_chemical_formula_sum 'Ca1 H1 N1 O2'
_space_group_name_H-M_alt 'P 1'
_space_group_IT_number 1
_cell_length_a 4.528
_cell_length_b 4.528
_cell_length_c 5.382
_cell_angle_alpha 90.00
_cell_angle_beta 90.00
_cell_angle_gamma 90.00
loop_
_space_group_symop_operation_xyz
'x,y,z'
loop_
_atom_site_label
_atom_site_fract_x
_atom_site_fract_y
_atom_site_fract_z
N1 0.000 0.000 0.500
O1 0.000 0.500 0.000
H1 0.500 0.500 0.500
O2 0.500 0.000 0.000
Ca1 0.000 0.000 0.000
```

Compound: CaH12S2N2O10
Source: Alexandria
Functional: PBE
Structure: relaxed

## Properties
The value obtained for the magnetization is 0.000 μB/atom. The space-group type is No. 15. As for the raw total energy: -5.463 eV per atom.

CIF file:
```
data_CaH12S2N2O10
_chemical_formula_sum 'Ca2 H24 S4 N4 O20'
_space_group_name_H-M_alt 'P 1'
_space_group_IT_number 1
_cell_length_a 7.019
_cell_length_b 7.019
_cell_length_c 11.846
_cell_angle_alpha 81.80
_cell_angle_beta 81.80
_cell_angle_gamma 65.24
loop_
_space_group_symop_operation_xyz
'x,y,z'
loop_
_atom_site_label
_atom_site_fract_x
_atom_site_fract_y
_atom_site_fract_z
H1 0.217 0.171 0.554
O1 0.957 0.418 0.701
H2 0.829 0.783 0.946
S1 0.485 0.888 0.823
O2 0.038 0.202 0.081
H3 0.313 0.346 0.303
H4 0.687 0.654 0.697
O3 0.759 0.289 0.914
Ca1 0.068 0.932 0.250
H5 0.740 0.353 0.535
S2 0.515 0.112 0.177
H6 0.445 0.837 0.650
O4 0.241 0.711 0.086
O5 0.996 0.255 0.340
H7 0.647 0.260 0.965
H8 0.163 0.555 0.850
H9 0.444 0.703 0.403
H10 0.965 0.213 0.013
Ca2 0.932 0.068 0.750
H11 0.171 0.217 0.054
H12 0.297 0.556 0.097
O6 0.255 0.996 0.840
H13 0.703 0.444 0.903
N1 0.531 0.748 0.717
O7 0.735 0.579 0.421
H14 0.787 0.035 0.487
O8 0.579 0.735 0.921
S3 0.888 0.485 0.323
N2 0.252 0.469 0.783
H15 0.035 0.787 0.987
O9 0.289 0.759 0.414
H16 0.353 0.740 0.035
H17 0.213 0.965 0.513
O10 0.202 0.038 0.581
O11 0.711 0.241 0.586
H18 0.260 0.647 0.465
O12 0.962 0.798 0.919
H19 0.346 0.313 0.803
O13 0.418 0.957 0.201
H20 0.555 0.163 0.350
O14 0.265 0.421 0.579
O15 0.004 0.745 0.660
H21 0.837 0.445 0.150
H22 0.556 0.297 0.597
H23 0.783 0.829 0.446
O16 0.421 0.265 0.079
S4 0.112 0.515 0.677
O17 0.745 0.004 0.160
O18 0.043 0.582 0.299
N3 0.469 0.252 0.283
O19 0.798 0.962 0.419
O20 0.582 0.043 0.799
N4 0.748 0.531 0.217
H24 0.654 0.687 0.197
```

Compound: Ca5P2HN
Source: Alexandria
Functional: PBE
Structure: relaxed

## Properties
The value obtained for the magnetization is 0.000 μB/atom. The space-group type is No. 36. As for the raw total energy: -4.547 eV per atom.

CIF file:
```
data_Ca5P2HN
_chemical_formula_sum 'Ca10 P4 H2 N2'
_space_group_name_H-M_alt 'P 1'
_space_group_IT_number 1
_cell_length_a 3.967
_cell_length_b 8.427
_cell_length_c 11.520
_cell_angle_alpha 90.00
_cell_angle_beta 90.00
_cell_angle_gamma 103.61
loop_
_space_group_symop_operation_xyz
'x,y,z'
loop_
_atom_site_label
_atom_site_fract_x
_atom_site_fract_y
_atom_site_fract_z
Ca1 0.350 0.700 0.003
P1 0.110 0.219 0.689
N1 0.796 0.591 0.510
P2 0.874 0.748 0.803
N2 0.204 0.409 0.010
Ca2 0.500 0.999 0.280
Ca3 0.065 0.129 0.045
Ca4 0.286 0.572 0.655
Ca5 0.650 0.300 0.503
P3 0.890 0.781 0.189
H1 0.550 0.100 0.964
Ca6 0.714 0.428 0.155
Ca7 0.500 0.001 0.780
H2 0.450 0.900 0.464
Ca8 0.935 0.871 0.545
Ca9 0.694 0.388 0.874
P4 0.126 0.252 0.303
Ca10 0.306 0.612 0.374
```

Compound: CaPHN3
Source: Alexandria
Functional: PBE
Structure: relaxed

## Properties
The value obtained for the magnetization is 0.000 μB/atom. The space-group type is No. 15. As for the raw total energy: -6.237 eV per atom.

CIF file:
```
data_CaPHN3
_chemical_formula_sum 'Ca2 P2 H2 N6'
_space_group_name_H-M_alt 'P 1'
_space_group_IT_number 1
_cell_length_a 5.106
_cell_length_b 4.467
_cell_length_c 6.225
_cell_angle_alpha 68.97
_cell_angle_beta 93.92
_cell_angle_gamma 100.99
loop_
_space_group_symop_operation_xyz
'x,y,z'
loop_
_atom_site_label
_atom_site_fract_x
_atom_site_fract_y
_atom_site_fract_z
N1 0.108 0.264 0.938
H1 0.250 0.537 0.925
Ca1 0.750 0.788 0.425
N2 0.608 0.202 0.062
N3 0.392 0.798 0.938
P1 0.750 0.050 0.901
N4 0.750 0.190 0.620
H2 0.750 0.463 0.075
N5 0.892 0.736 0.062
N6 0.250 0.810 0.380
Ca2 0.250 0.212 0.575
P2 0.250 0.950 0.099
```

Compound: Ca6HPb2N
Source: Alexandria
Functional: PBE
Structure: relaxed

## Properties
The value obtained for the magnetization is 0.000 μB/atom. The space-group type is No. 225. As for the raw total energy: -3.842 eV per atom.

CIF file:
```
data_Ca6HPb2N
_chemical_formula_sum 'Ca6 H1 Pb2 N1'
_space_group_name_H-M_alt 'P 1'
_space_group_IT_number 1
_cell_length_a 7.029
_cell_length_b 7.029
_cell_length_c 7.029
_cell_angle_alpha 60.00
_cell_angle_beta 60.00
_cell_angle_gamma 60.00
loop_
_space_group_symop_operation_xyz
'x,y,z'
loop_
_atom_site_label
_atom_site_fract_x
_atom_site_fract_y
_atom_site_fract_z
Ca1 0.760 0.240 0.240
Ca2 0.760 0.760 0.240
N1 0.000 0.000 0.000
Ca3 0.240 0.240 0.760
H1 0.500 0.500 0.500
Pb1 0.250 0.250 0.250
Pb2 0.750 0.750 0.750
Ca4 0.240 0.760 0.760
Ca5 0.240 0.760 0.240
Ca6 0.760 0.240 0.760
```

Compound: CaHPd2N
Source: Alexandria
Functional: PBE
Structure: relaxed

## Properties
The value obtained for the magnetization is 0.404 μB/atom. The space-group type is No. 123. As for the raw total energy: -3.217 eV per atom.

CIF file:
```
data_CaHPd2N
_chemical_formula_sum 'Ca1 H1 Pd2 N1'
_space_group_name_H-M_alt 'P 1'
_space_group_IT_number 1
_cell_length_a 5.142
_cell_length_b 3.750
_cell_length_c 5.142
_cell_angle_alpha 90.00
_cell_angle_beta 90.00
_cell_angle_gamma 90.00
loop_
_space_group_symop_operation_xyz
'x,y,z'
loop_
_atom_site_label
_atom_site_fract_x
_atom_site_fract_y
_atom_site_fract_z
N1 0.500 0.500 0.500
Pd1 0.000 0.000 0.500
Ca1 0.000 0.000 0.000
H1 0.000 0.500 0.000
Pd2 0.500 0.000 0.000
```

Compound: CaH2PdN
Source: Alexandria
Functional: PBE
Structure: relaxed

## Properties
The value obtained for the magnetization is 0.271 μB/atom. The space-group type is No. 123. As for the raw total energy: -4.270 eV per atom.

CIF file:
```
data_CaH2PdN
_chemical_formula_sum 'Ca1 H2 Pd1 N1'
_space_group_name_H-M_alt 'P 1'
_space_group_IT_number 1
_cell_length_a 3.421
_cell_length_b 6.195
_cell_length_c 3.421
_cell_angle_alpha 90.00
_cell_angle_beta 90.00
_cell_angle_gamma 90.00
loop_
_space_group_symop_operation_xyz
'x,y,z'
loop_
_atom_site_label
_atom_site_fract_x
_atom_site_fract_y
_atom_site_fract_z
Pd1 0.000 0.000 0.000
Ca1 0.000 0.500 0.000
N1 0.500 0.500 0.500
H1 0.500 0.000 0.000
H2 0.000 0.000 0.500
```

Compound: CaReHN2
Source: Alexandria
Functional: PBE
Structure: relaxed

## Properties
The value obtained for the magnetization is 0.000 μB/atom. The space-group type is No. 123. As for the raw total energy: -7.385 eV per atom.

CIF file:
```
data_CaReHN2
_chemical_formula_sum 'Ca1 Re1 H1 N2'
_space_group_name_H-M_alt 'P 1'
_space_group_IT_number 1
_cell_length_a 3.936
_cell_length_b 3.936
_cell_length_c 3.666
_cell_angle_alpha 90.00
_cell_angle_beta 90.00
_cell_angle_gamma 90.00
loop_
_space_group_symop_operation_xyz
'x,y,z'
loop_
_atom_site_label
_atom_site_fract_x
_atom_site_fract_y
_atom_site_fract_z
Re1 0.000 0.000 0.000
H1 0.000 0.000 0.500
N1 0.000 0.500 0.000
Ca1 0.500 0.500 0.500
N2 0.500 0.000 0.000
```

> Which of these has the highest raw total energy?

Na2Ca6HN